[1]
Entry from Alexandria: a geometry-optimized Ni2MoIr structure (PBEsol).

a = 2.669 Å, b = 3.639 Å, c = 5.177 Å
α = 90.00°, β = 90.00°, γ = 90.00°
Fractional positions:
Ni1 0.000 0.000 0.000
Ni2 0.500 0.500 0.219
Mo1 0.500 0.500 0.747
Ir1 0.000 0.000 0.482

Properties
Density ... 13.40 g cm⁻³
Total magnetic moment ... 0.0 Bohr magnetons per cell
Polymorph energy (0 for the lowest one) ... 64.3 meV/atom
ΔH_f (0 K) ... -0.125 eV/atom
Raw total energy ... -8.602 eV per atom
Volume ... 12.57 A^3/atom
Space-group type ... Pmm2

***

[2]
Entry from Alexandria: a geometry-optimized Ni2MoIr structure (PBEsol).

a = 4.539 Å, b = 4.539 Å, c = 4.539 Å
α = 132.46°, β = 132.46°, γ = 69.50°
Fractional positions:
Ni1 0.000 0.000 0.000
Ni2 0.750 0.250 0.500
Mo1 0.500 0.500 0.000
Ir1 0.250 0.750 0.500

Properties
Density ... 13.49 g cm⁻³
Total magnetic moment ... 0.0 Bohr magnetons per cell
Polymorph energy (0 for the lowest one) ... 0.0 meV/atom
ΔH_f (0 K) ... -0.189 eV/atom
Raw total energy ... -8.666 eV per atom
Volume ... 12.48 A^3/atom
Space-group type ... I-4m2

***

[3]
Entry from Alexandria: a geometry-optimized NiMo2Ir structure (PBEsol).

a = 2.701 Å, b = 4.305 Å, c = 4.719 Å
α = 90.00°, β = 90.00°, γ = 90.00°
Fractional positions:
Ni1 0.000 0.000 0.000
Mo1 0.500 0.000 0.493
Mo2 0.500 0.500 0.150
Ir1 0.000 0.500 0.667

Properties
Density ... 13.40 g cm⁻³
Total magnetic moment ... 0.0 Bohr magnetons per cell
Polymorph energy (0 for the lowest one) ... 0.0 meV/atom
ΔH_f (0 K) ... -0.186 eV/atom
Raw total energy ... -10.065 eV per atom
Volume ... 13.72 A^3/atom
Space-group type ... Pmm2